{"formula": "FeCuF4", "functional": "GGA+U", "state": "optimized geometry", "lattice": [[-1.491, -2.816, -0.880], [4.187, -2.092, -0.398], [-0.303, -1.251, 4.517]], "species": ["F", "F", "F", "F", "Fe", "Cu"], "frac_coords": [[0.000, 0.300, 0.300], [0.500, 0.800, 0.200], [0.500, 0.200, 0.800], [0.000, 0.700, 0.700], [0.500, 0.500, 0.500], [0.000, 0.000, 0.000]], "m_tot_mub_per_fu": 5.00, "de_polymorph_mev_per_atom": 0.0, "dft_energy_ev_per_cell": -29.1}